# 1
Computed, not measured: an optimized crystal structure of Ac2TmHf at the PBE level of DFT.

- N(E_F): 1.29 states/eV per atom
- Total magnetization: 0.00 μB/f.u.
- Crystal system: trigonal
- Electronic total energy: -61.357 eV for the cell shown

a = 3.5547 Å, b = 3.5547 Å, c = 37.6755 Å
α = 90.00°, β = 90.00°, γ = 120.00°
Space group R-3m (No. 166, hexagonal axes)
Unique sites:
1 Ac 0.0000 0.0000 0.0850 [6 per cell]
2 Tm 0.0000 0.0000 0.5000 [3 per cell]
3 Hf 0.0000 0.0000 0.0000 [3 per cell]


# 2
Computed, not measured: an optimized crystal structure of AcTmHf at the PBE level of DFT.

- N(E_F): 1.11 states/eV per atom
- Total magnetization: 0.00 μB/f.u.
- Crystal system: monoclinic
- Electronic total energy: -71.812 eV for the cell shown

a = 14.589 Å, b = 3.585 Å, c = 7.582 Å
α = 90.00°, β = 104.66°, γ = 90.00°
Space group C2/m (No. 12)
Unique sites:
1 Ac 0.143 0.000 0.066 [4 per cell]
2 Tm 0.158 0.000 0.585 [4 per cell]
3 Hf 0.004 0.500 0.307 [4 per cell]


# 3
Computed, not measured: an optimized crystal structure of Ac2YHf at the PBE level of DFT.

- N(E_F): 1.35 states/eV per atom
- Total magnetization: 0.00 μB/f.u.
- Crystal system: trigonal
- Electronic total energy: -67.375 eV for the cell shown

a = 3.5727 Å, b = 3.5727 Å, c = 37.9249 Å
α = 90.00°, β = 90.00°, γ = 120.00°
Space group R-3m (No. 166, hexagonal axes)
Unique sites:
1 Ac 0.0000 0.0000 0.0843 [6 per cell]
2 Y 0.0000 0.0000 0.5000 [3 per cell]
3 Hf 0.0000 0.0000 0.0000 [3 per cell]


# 4
Computed, not measured: an optimized crystal structure of AcHfZn4 at the PBE level of DFT.

- N(E_F): 0.68 states/eV per atom
- Total magnetization: 0.00 μB/f.u.
- Crystal system: cubic
- Electronic total energy: -78.818 eV for the cell shown

a = 7.787 Å, b = 7.787 Å, c = 7.787 Å
α = 90.00°, β = 90.00°, γ = 90.00°
Space group F-43m (No. 216)
Unique sites:
1 Ac 0.000 0.000 0.000 [4 per cell]
2 Hf 0.250 0.250 0.750 [4 per cell]
3 Zn 0.122 0.122 0.378 [16 per cell]


# 5
Computed, not measured: an optimized crystal structure of Ac2HfZn at the PBE level of DFT.

- N(E_F): 1.25 states/eV per atom
- Total magnetization: 0.48 μB/f.u.
- Crystal system: trigonal
- Electronic total energy: -51.628 eV for the cell shown

a = 3.5455 Å, b = 3.5455 Å, c = 35.2010 Å
α = 90.00°, β = 90.00°, γ = 120.00°
Space group R-3m (No. 166, hexagonal axes)
Unique sites:
1 Ac 0.0000 0.0000 0.0923 [6 per cell]
2 Hf 0.0000 0.0000 0.0000 [3 per cell]
3 Zn 0.0000 0.0000 0.5000 [3 per cell]


# 6
Computed, not measured: an optimized crystal structure of AcHfZn2 at the PBE level of DFT.

- N(E_F): 0.69 states/eV per atom
- Total magnetization: 0.00 μB/f.u.
- Energy relative to the lowest polymorph listed for this composition: 0 meV/atom
- Crystal system: tetragonal
- Electronic total energy: -17.037 eV for the cell shown

a = 3.557 Å, b = 3.557 Å, c = 7.342 Å
α = 90.00°, β = 90.00°, γ = 90.00°
Space group P4/mmm (No. 123)
Unique sites:
1 Ac 0.000 0.000 0.000 [1 per cell]
2 Hf 0.000 0.000 0.500 [1 per cell]
3 Zn 0.500 0.500 0.309 [2 per cell]


# 7
Computed, not measured: an optimized crystal structure of AcHfZn2 at the PBE level of DFT.

- N(E_F): 0.82 states/eV per atom
- Total magnetization: 0.00 μB/f.u.
- Energy relative to the lowest polymorph listed for this composition: 194 meV/atom
- Crystal system: tetragonal
- Electronic total energy: -16.260 eV for the cell shown

a = 5.121 Å, b = 5.121 Å, c = 3.576 Å
α = 90.00°, β = 90.00°, γ = 90.00°
Space group P4/mmm (No. 123)
Unique sites:
1 Ac 0.000 0.000 0.000 [1 per cell]
2 Hf 0.500 0.500 0.000 [1 per cell]
3 Zn 0.000 0.500 0.500 [2 per cell]


# 8
Computed, not measured: an optimized crystal structure of AcHfZn2 at the PBE level of DFT.

- N(E_F): 0.79 states/eV per atom
- Total magnetization: 0.00 μB/f.u.
- Energy relative to the lowest polymorph listed for this composition: 239 meV/atom
- Crystal system: trigonal
- Electronic total energy: -48.238 eV for the cell shown

a = 3.5657 Å, b = 3.5657 Å, c = 27.0808 Å
α = 90.00°, β = 90.00°, γ = 120.00°
Space group R-3m (No. 166, hexagonal axes)
Unique sites:
1 Ac 0.0000 0.0000 0.0000 [3 per cell]
2 Hf 0.0000 0.0000 0.5000 [3 per cell]
3 Zn 0.0000 0.0000 0.2379 [6 per cell]


# 9
Computed, not measured: an optimized crystal structure of AcHg7 at the PBE level of DFT.

- N(E_F): 0.43 states/eV per atom
- Total magnetization: 0.00 μB/f.u.
- Crystal system: tetragonal
- Electronic total energy: -15.692 eV for the cell shown

a = 5.226 Å, b = 5.226 Å, c = 15.996 Å
α = 90.00°, β = 90.00°, γ = 90.00°
Space group I4/mmm (No. 139)
Unique sites:
1 Ac 0.000 0.000 0.000 [2 per cell]
2 Hg 0.000 0.000 0.241 [4 per cell]
3 Hg 0.000 0.000 0.500 [2 per cell]
4 Hg 0.000 0.500 0.135 [8 per cell]


# 10
Computed, not measured: an optimized crystal structure of AcHg5 at the PBE level of DFT.

- N(E_F): 0.38 states/eV per atom
- Total magnetization: 0.00 μB/f.u.
- Crystal system: monoclinic
- Electronic total energy: -14.576 eV for the cell shown

a = 10.676 Å, b = 4.600 Å, c = 7.179 Å
α = 90.00°, β = 108.85°, γ = 90.00°
Space group C2/m (No. 12)
Unique sites:
1 Ac 0.000 0.000 0.000 [2 per cell]
2 Hg 0.000 0.000 0.500 [2 per cell]
3 Hg 0.161 0.500 0.803 [4 per cell]
4 Hg 0.176 0.500 0.337 [4 per cell]


# 11
Computed, not measured: an optimized crystal structure of AcHg6 at the PBE level of DFT.

- N(E_F): 0.80 states/eV per atom
- Total magnetization: 0.00 μB/f.u.
- Energy relative to the lowest polymorph listed for this composition: 451 meV/atom
- Crystal system: cubic
- Electronic total energy: -8.776 eV for the cell shown

a = 7.883 Å, b = 7.883 Å, c = 7.883 Å
α = 90.00°, β = 90.00°, γ = 90.00°
Space group Im-3m (No. 229)
Unique sites:
1 Ac 0.000 0.000 0.000 [2 per cell]
2 Hg 0.000 0.250 0.500 [12 per cell]


# 12
Computed, not measured: an optimized crystal structure of Ac5Hg4 at the PBE level of DFT.

- N(E_F): 1.15 states/eV per atom
- Total magnetization: 0.00 μB/f.u.
- Crystal system: monoclinic
- Electronic total energy: -50.017 eV for the cell shown

a = 13.077 Å, b = 4.255 Å, c = 12.370 Å
α = 90.00°, β = 109.41°, γ = 90.00°
Space group C2/m (No. 12)
Unique sites:
1 Ac 0.000 0.000 0.000 [2 per cell]
2 Ac 0.117 0.000 0.392 [4 per cell]
3 Ac 0.237 0.000 0.836 [4 per cell]
4 Hg 0.031 0.500 0.815 [4 per cell]
5 Hg 0.116 0.500 0.606 [4 per cell]


# 13
Computed, not measured: an optimized crystal structure of AcHg5 at the PBE level of DFT.

- N(E_F): 0.56 states/eV per atom
- Total magnetization: 0.00 μB/f.u.
- Crystal system: orthorhombic
- Electronic total energy: -14.557 eV for the cell shown

a = 5.151 Å, b = 12.397 Å, c = 5.197 Å
α = 90.00°, β = 90.00°, γ = 90.00°
Space group Cmmm (No. 65)
Unique sites:
1 Ac 0.000 0.000 0.000 [2 per cell]
2 Hg 0.000 0.173 0.500 [4 per cell]
3 Hg 0.000 0.321 0.000 [4 per cell]
4 Hg 0.000 0.500 0.500 [2 per cell]


# 14
Computed, not measured: an optimized crystal structure of AcHg at the PBE level of DFT.

- N(E_F): 1.40 states/eV per atom
- Total magnetization: 1.15 μB/f.u.
- Crystal system: cubic
- Electronic total energy: -19.705 eV for the cell shown

a = 6.729 Å, b = 6.729 Å, c = 6.729 Å
α = 90.00°, β = 90.00°, γ = 90.00°
Space group Fm-3m (No. 225)
Unique sites:
1 Ac 0.000 0.000 0.000 [4 per cell]
2 Hg 0.000 0.000 0.500 [4 per cell]


# 15
Computed, not measured: an optimized crystal structure of AcHg8 at the PBE level of DFT.

- N(E_F): 0.45 states/eV per atom
- Total magnetization: 0.00 μB/f.u.
- Crystal system: tetragonal
- Electronic total energy: -16.631 eV for the cell shown

a = 10.259 Å, b = 10.259 Å, c = 4.693 Å
α = 90.00°, β = 90.00°, γ = 90.00°
Space group I4/mmm (No. 139)
Unique sites:
1 Ac 0.000 0.000 0.000 [2 per cell]
2 Hg 0.000 0.339 0.000 [8 per cell]
3 Hg 0.173 0.173 0.500 [8 per cell]


# 16
Computed, not measured: an optimized crystal structure of Ac2Hg3 at the PBE level of DFT.

- N(E_F): 1.08 states/eV per atom
- Total magnetization: 0.00 μB/f.u.
- Crystal system: trigonal
- Electronic total energy: -33.490 eV for the cell shown

a = 5.0756 Å, b = 5.0756 Å, c = 22.1799 Å
α = 90.00°, β = 90.00°, γ = 120.00°
Space group R-3m (No. 166, hexagonal axes)
Unique sites:
1 Ac 0.0000 0.0000 0.0866 [6 per cell]
2 Hg 0.0000 0.0000 0.3430 [6 per cell]
3 Hg 0.0000 0.0000 0.5000 [3 per cell]


# 17
Computed, not measured: an optimized crystal structure of AcHg3 at the PBE level of DFT.

- N(E_F): 1.21 states/eV per atom
- Total magnetization: 0.00 μB/f.u.
- Crystal system: orthorhombic
- Electronic total energy: -6.381 eV for the cell shown

a = 4.778 Å, b = 4.796 Å, c = 5.134 Å
α = 90.00°, β = 90.00°, γ = 90.00°
Space group Pmmm (No. 47)
Unique sites:
1 Ac 0.000 0.000 0.000 [1 per cell]
2 Hg 0.000 0.500 0.500 [1 per cell]
3 Hg 0.500 0.000 0.500 [1 per cell]
4 Hg 0.500 0.500 0.000 [1 per cell]


# 18
Computed, not measured: an optimized crystal structure of Ac3Hg4 at the PBE level of DFT.

- N(E_F): 1.04 states/eV per atom
- Total magnetization: 0.00 μB/f.u.
- Crystal system: trigonal
- Electronic total energy: -101.332 eV for the cell shown

a = 15.1069 Å, b = 15.1069 Å, c = 6.8346 Å
α = 90.00°, β = 90.00°, γ = 120.00°
Space group R-3 (No. 148, hexagonal axes)
Unique sites:
1 Ac 0.0445 0.8284 0.2250 [18 per cell]
2 Hg 0.0000 0.0000 0.0000 [3 per cell]
3 Hg 0.0000 0.0000 0.5000 [3 per cell]
4 Hg 0.0558 0.7892 0.7076 [18 per cell]


# 19
Computed, not measured: an optimized crystal structure of AcHg3 at the PBE level of DFT.

- N(E_F): 0.94 states/eV per atom
- Total magnetization: 0.00 μB/f.u.
- Crystal system: hexagonal
- Electronic total energy: -13.326 eV for the cell shown

a = 7.1306 Å, b = 7.1306 Å, c = 5.1752 Å
α = 90.00°, β = 90.00°, γ = 120.00°
Space group P6_3/mmc (No. 194)
Unique sites:
1 Ac 0.3333 0.6667 0.2500 [2 per cell]
2 Hg 0.1567 0.3133 0.7500 [6 per cell]


# 20
Computed, not measured: an optimized crystal structure of Ac5Hg at the PBE level of DFT.

- N(E_F): 1.35 states/eV per atom
- Total magnetization: 0.00 μB/f.u.
- Energy relative to the lowest polymorph listed for this composition: 0 meV/atom
- Crystal system: monoclinic
- Electronic total energy: -43.301 eV for the cell shown

a = 13.634 Å, b = 4.102 Å, c = 9.551 Å
α = 90.00°, β = 111.59°, γ = 90.00°
Space group Cm (No. 8)
Unique sites:
1 Ac 0.000 0.000 0.000 [2 per cell]
2 Ac 0.026 0.000 0.441 [2 per cell]
3 Ac 0.190 0.500 0.837 [2 per cell]
4 Ac 0.218 0.500 0.283 [2 per cell]
5 Ac 0.360 0.000 0.641 [2 per cell]
6 Hg 0.357 0.000 0.138 [2 per cell]


# 21
Computed, not measured: an optimized crystal structure of Ac4Hg3 at the PBE level of DFT.

- N(E_F): 1.39 states/eV per atom
- Total magnetization: 0.02 μB/f.u.
- Crystal system: trigonal
- Electronic total energy: -58.998 eV for the cell shown

a = 5.6817 Å, b = 5.6817 Å, c = 27.4086 Å
α = 90.00°, β = 90.00°, γ = 120.00°
Space group R-3m (No. 166, hexagonal axes)
Unique sites:
1 Ac 0.0000 0.0000 0.1220 [6 per cell]
2 Ac 0.0000 0.0000 0.3733 [6 per cell]
3 Hg 0.0000 0.0000 0.2504 [6 per cell]
4 Hg 0.0000 0.0000 0.5000 [3 per cell]


# 22
Computed, not measured: an optimized crystal structure of AcHg2 at the PBE level of DFT.

- N(E_F): 0.43 states/eV per atom
- Total magnetization: 0.00 μB/f.u.
- Energy relative to the lowest polymorph listed for this composition: 129 meV/atom
- Crystal system: cubic
- Electronic total energy: -45.830 eV for the cell shown

a = 8.832 Å, b = 8.832 Å, c = 8.832 Å
α = 90.00°, β = 90.00°, γ = 90.00°
Space group Fd-3m (No. 227, origin choice 2)
Unique sites:
1 Ac 0.125 0.125 0.125 [8 per cell]
2 Hg 0.000 0.000 0.500 [16 per cell]


# 23
Computed, not measured: an optimized crystal structure of AcHg5 at the PBE level of DFT.

- N(E_F): 0.56 states/eV per atom
- Total magnetization: 0.00 μB/f.u.
- Crystal system: monoclinic
- Electronic total energy: -14.691 eV for the cell shown

a = 9.165 Å, b = 5.289 Å, c = 6.780 Å
α = 90.00°, β = 90.22°, γ = 90.00°
Space group C2/m (No. 12)
Unique sites:
1 Ac 0.000 0.000 0.000 [2 per cell]
2 Hg 0.000 0.000 0.500 [2 per cell]
3 Hg 0.166 0.500 0.745 [4 per cell]
4 Hg 0.167 0.500 0.256 [4 per cell]


# 24
Computed, not measured: an optimized crystal structure of Ac3Hg11 at the PBE level of DFT.

- N(E_F): 0.67 states/eV per atom
- Total magnetization: 0.00 μB/f.u.
- Crystal system: orthorhombic
- Electronic total energy: -40.415 eV for the cell shown

a = 5.219 Å, b = 9.929 Å, c = 14.909 Å
α = 90.00°, β = 90.00°, γ = 90.00°
Space group Immm (No. 71)
Unique sites:
1 Ac 0.000 0.000 0.000 [2 per cell]
2 Ac 0.000 0.000 0.296 [4 per cell]
3 Hg 0.000 0.173 0.500 [4 per cell]
4 Hg 0.000 0.283 0.145 [8 per cell]
5 Hg 0.000 0.358 0.345 [8 per cell]
6 Hg 0.000 0.500 0.000 [2 per cell]


# 25
Computed, not measured: an optimized crystal structure of Ac3Hg5 at the PBE level of DFT.

- N(E_F): 0.80 states/eV per atom
- Total magnetization: 0.00 μB/f.u.
- Crystal system: orthorhombic
- Electronic total energy: -34.882 eV for the cell shown

a = 8.180 Å, b = 11.048 Å, c = 5.578 Å
α = 90.00°, β = 90.00°, γ = 90.00°
Space group Cmmm (No. 65)
Unique sites:
1 Ac 0.000 0.000 0.000 [2 per cell]
2 Ac 0.000 0.295 0.500 [4 per cell]
3 Hg 0.000 0.500 0.000 [2 per cell]
4 Hg 0.206 0.000 0.500 [4 per cell]
5 Hg 0.250 0.250 0.000 [4 per cell]


# 26
Computed, not measured: an optimized crystal structure of Ac2Hg at the PBE level of DFT.

- N(E_F): 1.29 states/eV per atom
- Total magnetization: 0.02 μB/f.u.
- Energy relative to the lowest polymorph listed for this composition: 0 meV/atom
- Crystal system: tetragonal
- Electronic total energy: -18.913 eV for the cell shown

a = 4.032 Å, b = 4.032 Å, c = 13.715 Å
α = 90.00°, β = 90.00°, γ = 90.00°
Space group P4/mmm (No. 123)
Unique sites:
1 Ac 0.000 0.000 0.000 [1 per cell]
2 Ac 0.000 0.000 0.296 [2 per cell]
3 Ac 0.500 0.500 0.500 [1 per cell]
4 Hg 0.500 0.500 0.149 [2 per cell]


# 27
Computed, not measured: an optimized crystal structure of AcHg2 at the PBE level of DFT.

- N(E_F): 0.65 states/eV per atom
- Total magnetization: 0.00 μB/f.u.
- Energy relative to the lowest polymorph listed for this composition: 59 meV/atom
- Crystal system: tetragonal
- Electronic total energy: -11.877 eV for the cell shown

a = 4.198 Å, b = 4.198 Å, c = 10.393 Å
α = 90.00°, β = 90.00°, γ = 90.00°
Space group I4/mmm (No. 139)
Unique sites:
1 Ac 0.000 0.000 0.000 [2 per cell]
2 Hg 0.000 0.000 0.330 [4 per cell]